AcWO4 after structural relaxation, computed with GGA+U.

Output
* calculated total energy: -0.579 Ry/atom
* N(E_F): 0.00 states/eV/cell
* crystal system: monoclinic
* energy above the lowest structure with this stoichiometry: 0 meV/atom
* M_tot: 1.00 μB per formula unit

The structure in CIF format:
```
data_AcWO4
_cell_length_a 7.322
_cell_length_b 11.851
_cell_length_c 5.248
_cell_angle_alpha 90.00
_cell_angle_beta 127.57
_cell_angle_gamma 90.00
_space_group_name_H-M_alt 'C 1 2/c 1'
_space_group_IT_number 15
_space_group_name_Hall '-C 2yc'
loop_
_atom_site_label
_atom_site_type_symbol
_atom_site_fract_x
_atom_site_fract_y
_atom_site_fract_z
Ac1 Ac 0.000 0.137 0.250
W1 W 0.000 0.411 0.750
O1 O 0.135 0.299 0.647
O2 O 0.214 0.469 0.204
```